Compound: LiCrO2
Source: Alexandria via LeMat-Bulk
Functional: PBE with a Hubbard U
Structure: relaxed

a = 5.2498 Å, b = 5.2498 Å, c = 5.2498 Å
α = 134.56°, β = 134.56°, γ = 66.21°
With the nearest neighbours (Å) after each atom.
Fractional positions:
1 Cr 0.0000 0.0000 0.0000  6 O 2.02-2.04
2 Cr 0.7500 0.2500 0.5000  6 O 2.02-2.04
3 O 0.7706 0.7706 0.0000  3 Cr 2.02-2.04, 2 Li 2.04
4 O 0.2294 0.2294 0.0000  3 Cr 2.02-2.04, 2 Li 2.04
5 O 0.9794 0.4794 0.5000  3 Cr 2.02-2.04, 2 Li 2.04
6 O 0.5206 0.0206 0.5000  3 Cr 2.02-2.04, 2 Li 2.04
7 Li 0.5000 0.5000 0.0000  4 O 2.04
8 Li 0.2500 0.7500 0.5000  4 O 2.04

Results
* SG: No. 141
* calculated density: 4.2 Mg/m³
* energy: -54.854 eV/cell
* total magnetic moment: 3.0 μB per formula unit
* excess energy over the best structure of this formula in the dataset: 42 meV/atom